1.
Entry from Alexandria via LeMat-Bulk: CsK2Rb2 after structural relaxation (PBE).

a b c (Å): 7.211 7.211 9.758
angles (deg): 90.13 90.13 109.32
Positions (direct):
1 K 0.826 0.174 0.500
2 Rb 0.502 0.502 0.252
3 K 0.174 0.826 0.500
4 Cs 0.000 0.000 0.000
5 Rb 0.498 0.498 0.748

Calculated values
The calculated density comes out at 1325 kg/m3. Its energy of formation is 0.0593 eV per atom. For the magnetic moment, the calculation gives 0.00 μB per formula unit. Its energy relative to the lowest polymorph listed for this composition is 0.045 eV/atom.



2.
Entry from Alexandria via LeMat-Bulk: Ge3TeAu3 after structural relaxation (PBE).

a b c (Å): 7.195 7.195 7.195
angles (deg): 90.00 90.00 90.00
Positions (direct):
1 Ge 0.500 0.000 0.750
2 Au 0.500 0.250 0.000
3 Au 0.250 0.000 0.500
4 Te 0.500 0.500 0.500
5 Ge 0.250 0.500 0.000
6 Ge 0.000 0.250 0.500
7 Ge 0.750 0.500 0.000
8 Ge 0.000 0.750 0.500
9 Au 0.000 0.500 0.750
10 Au 0.000 0.500 0.250
11 Te 0.000 0.000 0.000
12 Au 0.750 0.000 0.500
13 Au 0.500 0.750 0.000
14 Ge 0.500 0.000 0.250

Calculated values
The calculated density comes out at 8350 kg/m3. For the magnetic moment, the calculation gives 0.00 μB per formula unit. The value obtained for the uncorrected formation energy is 0.317 eV/atom.



3.
Entry from Alexandria via LeMat-Bulk: CaTeMo2P after structural relaxation (PBE).

a b c (Å): 5.004 5.653 5.004
angles (deg): 90.00 90.00 90.00
Site moments in Bohr magnetons follow the coordinates.
Positions (direct):
1 Te 0.000 0.000 0.000  -0.04
2 Ca 0.000 0.500 0.000  0.02
3 Mo 0.000 0.000 0.500  1.74
4 Mo 0.500 0.000 0.000  1.68
5 P 0.500 0.500 0.500  -0.14

Calculated values
The calculated density comes out at 4582 kg/m3. For the magnetic moment, the calculation gives 3.92 μB per formula unit. The value obtained for the uncorrected formation energy is 1.406 eV/atom.



4.
Entry from Alexandria via LeMat-Bulk: TiF3 after structural relaxation (PBE).

a b c (Å): 2.642 5.014 4.840
angles (deg): 121.20 105.84 90.00
Site moments in Bohr magnetons follow the coordinates.
Positions (direct):
1 Ti 0.000 0.047 0.000  0.31
2 F 0.662 0.050 0.325  0.00
3 F 0.500 0.345 0.000  0.01
4 F 0.338 0.725 0.675  0.00

Calculated values
The calculated density comes out at 3350 kg/m3. For the magnetic moment, the calculation gives 0.35 μB per formula unit. The value obtained for the uncorrected formation energy is -3.105 eV/atom.



5.
Entry from Alexandria via LeMat-Bulk: RbHf3I after structural relaxation (PBE).

a b c (Å): 5.419 5.419 5.419
angles (deg): 90.00 90.00 90.00
Positions (direct):
1 Rb 0.500 0.500 0.500
2 Hf 0.000 0.000 0.500
3 Hf 0.500 0.000 0.000
4 Hf 0.000 0.500 0.000
5 I 0.000 0.000 0.000

Calculated values
The calculated density comes out at 7804 kg/m3. For the magnetic moment, the calculation gives 0.00 μB per formula unit. Its energy relative to the lowest polymorph listed for this composition is 0.000 eV/atom. The value obtained for the uncorrected formation energy is 1.351 eV/atom.



6.
Entry from Alexandria via LeMat-Bulk: KTe2PtN after structural relaxation (PBE).

a b c (Å): 5.948 5.948 4.610
angles (deg): 90.00 90.00 90.00
Site moments in Bohr magnetons follow the coordinates.
Positions (direct):
1 Te 0.500 0.000 0.000  0.08
2 Te 0.000 0.500 0.000  0.08
3 K 0.000 0.000 0.000  0.07
4 N 0.000 0.000 0.500  1.73
5 Pt 0.500 0.500 0.500  0.04

Calculated values
The calculated density comes out at 5125 kg/m3. For the magnetic moment, the calculation gives 2.91 μB per formula unit. Its energy relative to the lowest polymorph listed for this composition is 1.903 eV/atom. The value obtained for the uncorrected formation energy is 1.980 eV/atom.



7.
Entry from Alexandria via LeMat-Bulk: MgZrHg4 after structural relaxation (PBE).

a b c (Å): 4.647 3.275 12.797
angles (deg): 75.02 79.54 44.80
Positions (direct):
1 Hg 0.500 0.843 0.157
2 Mg 0.000 0.000 0.000
3 Hg 0.001 0.336 0.662
4 Hg 0.500 0.157 0.843
5 Hg 0.999 0.664 0.338
6 Zr 0.500 0.500 0.500

Calculated values
The calculated density comes out at 11498 kg/m3. Its energy of formation is -0.0849 eV per atom. For the magnetic moment, the calculation gives 0.00 μB per formula unit. Its energy relative to the lowest polymorph listed for this composition is 0.000 eV/atom.



8.
Entry from Alexandria via LeMat-Bulk: Sm2Si4Ir3Pd after structural relaxation (PBE).

a b c (Å): 4.174 4.174 9.958
angles (deg): 90.00 90.00 90.00
Positions (direct):
1 Pd 0.500 0.500 0.500
2 Ir 0.500 0.000 0.874
3 Si 0.500 0.000 0.635
4 Si 0.500 0.500 0.000
5 Si 0.000 0.000 0.000
6 Ir 0.000 0.000 0.500
7 Sm 0.500 0.000 0.241
8 Sm 0.000 0.500 0.759
9 Si 0.000 0.500 0.365
10 Ir 0.000 0.500 0.126

Calculated values
The calculated density comes out at 10491 kg/m3. For the magnetic moment, the calculation gives 0.00 μB per formula unit. The value obtained for the uncorrected formation energy is -1.004 eV/atom.